Compound: La2Pd2Cl
Source: OQMD via LeMat-Bulk
Functional: PBE
Structure: optimized geometry

```
data_La2Pd2Cl
_cell_length_a 4.4789
_cell_length_b 4.4789
_cell_length_c 7.8954
_cell_angle_alpha 90.00
_cell_angle_beta 90.00
_cell_angle_gamma 120.00
_symmetry_space_group_name_H-M 'P -6 m 2'
_symmetry_Int_Tables_number 187
_symmetry_space_group_name_Hall 'P -6 2'
loop_
_atom_site_label
_atom_site_type_symbol
_atom_site_fract_x
_atom_site_fract_y
_atom_site_fract_z
La1 La 0.0000 0.0000 0.2302
Pd1 Pd 0.3333 0.6667 0.0000
Pd2 Pd 0.6667 0.3333 0.0000
Cl1 Cl 0.6667 0.3333 0.5000
```

Output
Total magnetic moment, μB per formula unit: 0.3
Mass density, g cm⁻³: 6.37
Raw total energy, Ry/atom: -0.4012

---

Compound: Hf3Zn3Cu2Au
Source: OQMD via LeMat-Bulk
Functional: PBE
Structure: optimized geometry

```
data_Hf3Zn3Cu2Au
_cell_length_a 7.1137
_cell_length_b 7.1137
_cell_length_c 3.4187
_cell_angle_alpha 90.00
_cell_angle_beta 90.00
_cell_angle_gamma 120.00
_symmetry_space_group_name_H-M 'P -6 2 m'
_symmetry_Int_Tables_number 189
_symmetry_space_group_name_Hall 'P -6 -2'
loop_
_atom_site_label
_atom_site_type_symbol
_atom_site_fract_x
_atom_site_fract_y
_atom_site_fract_z
Hf1 Hf 0.0000 0.6017 0.0000
Zn1 Zn 0.0000 0.2853 0.5000
Cu1 Cu 0.3333 0.6667 0.5000
Au1 Au 0.0000 0.0000 0.0000
```

Output
Total magnetic moment, μB per formula unit: 0.3
DFT formation energy, eV/atom: -0.268
Mass density, g cm⁻³: 11.70

---

Compound: YAl2Pd
Source: OQMD via LeMat-Bulk
Functional: PBE
Structure: optimized geometry

```
data_YAl2Pd
_cell_length_a 6.664
_cell_length_b 6.664
_cell_length_c 6.664
_cell_angle_alpha 90.00
_cell_angle_beta 90.00
_cell_angle_gamma 90.00
_symmetry_space_group_name_H-M 'F -4 3 m'
_symmetry_Int_Tables_number 216
_symmetry_space_group_name_Hall 'F -4 2 3'
loop_
_atom_site_label
_atom_site_type_symbol
_atom_site_fract_x
_atom_site_fract_y
_atom_site_fract_z
Y1 Y 0.000 0.000 0.000
Al1 Al 0.000 0.000 0.500
Al2 Al 0.250 0.250 0.250
Pd1 Pd 0.250 0.250 0.750
```

Output
Total magnetic moment, μB per formula unit: 0.0
Mass density, g cm⁻³: 5.59
Raw total energy, Ry/atom: -0.3928

---

Compound: LuCoSiOs
Source: OQMD via LeMat-Bulk
Functional: PBE
Structure: optimized geometry

```
data_LuCoSiOs
_cell_length_a 6.156
_cell_length_b 6.156
_cell_length_c 6.156
_cell_angle_alpha 90.00
_cell_angle_beta 90.00
_cell_angle_gamma 90.00
_symmetry_space_group_name_H-M 'F -4 3 m'
_symmetry_Int_Tables_number 216
_symmetry_space_group_name_Hall 'F -4 2 3'
loop_
_atom_site_label
_atom_site_type_symbol
_atom_site_fract_x
_atom_site_fract_y
_atom_site_fract_z
Lu1 Lu 0.000 0.000 0.000
Co1 Co 0.250 0.250 0.750
Si1 Si 0.000 0.000 0.500
Os1 Os 0.250 0.250 0.250
```

Output
Total magnetic moment, μB per formula unit: 0.0
Mass density, g cm⁻³: 12.88
Energy relative to the lowest polymorph listed for this composition, eV per atom: 0.000

---

Compound: KTbHgSe3
Source: OQMD via LeMat-Bulk
Functional: PBE
Structure: optimized geometry

```
data_KTbHgSe3
_cell_length_a 18.491
_cell_length_b 4.214
_cell_length_c 9.268
_cell_angle_alpha 90.00
_cell_angle_beta 102.97
_cell_angle_gamma 90.00
_symmetry_space_group_name_H-M 'C 1 2/m 1'
_symmetry_Int_Tables_number 12
_symmetry_space_group_name_Hall '-C 2y'
loop_
_atom_site_label
_atom_site_type_symbol
_atom_site_fract_x
_atom_site_fract_y
_atom_site_fract_z
K1 K 0.141 0.000 0.070
Tb1 Tb 0.173 0.000 0.582
Hg1 Hg 0.019 0.500 0.723
Se1 Se 0.000 0.000 0.500
Se2 Se 0.000 0.500 0.000
Se3 Se 0.169 0.500 0.369
Se4 Se 0.172 0.500 0.793
```

Output
Total magnetic moment, μB per formula unit: 0.0
Mass density, g cm⁻³: 6.00
Raw total energy, Ry/atom: -0.2856

---

Compound: LuTlFeRe
Source: OQMD via LeMat-Bulk
Functional: PBE
Structure: optimized geometry

```
data_LuTlFeRe
_cell_length_a 6.584
_cell_length_b 6.584
_cell_length_c 6.584
_cell_angle_alpha 90.00
_cell_angle_beta 90.00
_cell_angle_gamma 90.00
_symmetry_space_group_name_H-M 'F -4 3 m'
_symmetry_Int_Tables_number 216
_symmetry_space_group_name_Hall 'F -4 2 3'
loop_
_atom_site_label
_atom_site_type_symbol
_atom_site_fract_x
_atom_site_fract_y
_atom_site_fract_z
Lu1 Lu 0.000 0.000 0.000
Tl1 Tl 0.250 0.250 0.250
Fe1 Fe 0.000 0.000 0.500
Re1 Re 0.250 0.250 0.750
```

Output
Total magnetic moment, μB per formula unit: 3.3
Mass density, g cm⁻³: 14.46
Energy relative to the lowest polymorph listed for this composition, eV per atom: 0.000

---

Compound: AgPbSF
Source: OQMD via LeMat-Bulk
Functional: PBE
Structure: optimized geometry

```
data_AgPbSF
_cell_length_a 4.058
_cell_length_b 4.058
_cell_length_c 9.211
_cell_angle_alpha 90.00
_cell_angle_beta 90.00
_cell_angle_gamma 90.00
_symmetry_space_group_name_H-M 'P 4/n m m'
_symmetry_Int_Tables_number 129
loop_
_symmetry_equiv_pos_as_xyz
'x,y,z'
'-x,-y,-z'
'-y+1/2,x,z'
'y+1/2,-x,-z'
'-x+1/2,-y+1/2,z'
'x+1/2,y+1/2,-z'
'y,-x+1/2,z'
'-y,x+1/2,-z'
'x+1/2,-y,-z'
'-x+1/2,y,z'
'-y,-x,-z'
'y,x,z'
'-x,y+1/2,-z'
'x,-y+1/2,z'
'y+1/2,x+1/2,-z'
'-y+1/2,-x+1/2,z'
loop_
_atom_site_label
_atom_site_type_symbol
_atom_site_fract_x
_atom_site_fract_y
_atom_site_fract_z
Ag1 Ag 0.250 0.750 0.000
Pb1 Pb 0.250 0.250 0.333
S1 S 0.250 0.250 0.808
F1 F 0.250 0.750 0.500
```

Output
Mass density, g cm⁻³: 8.02
Energy relative to the lowest polymorph listed for this composition, eV per atom: 0.000

---

Compound: ZrCoTcPb
Source: OQMD via LeMat-Bulk
Functional: PBE
Structure: optimized geometry

```
data_ZrCoTcPb
_cell_length_a 6.501
_cell_length_b 6.501
_cell_length_c 6.501
_cell_angle_alpha 90.00
_cell_angle_beta 90.00
_cell_angle_gamma 90.00
_symmetry_space_group_name_H-M 'F -4 3 m'
_symmetry_Int_Tables_number 216
_symmetry_space_group_name_Hall 'F -4 2 3'
loop_
_atom_site_label
_atom_site_type_symbol
_atom_site_fract_x
_atom_site_fract_y
_atom_site_fract_z
Zr1 Zr 0.000 0.000 0.000
Co1 Co 0.250 0.250 0.750
Tc1 Tc 0.250 0.250 0.250
Pb1 Pb 0.000 0.000 0.500
```

Output
Total magnetic moment, μB per formula unit: 0.0
Mass density, g cm⁻³: 11.01
Energy relative to the lowest polymorph listed for this composition, eV per atom: 0.000

---

Compound: Er2CuTe6
Source: OQMD via LeMat-Bulk
Functional: PBE
Structure: optimized geometry

```
data_Er2CuTe6
_cell_length_a 8.3454
_cell_length_b 8.3454
_cell_length_c 3.9662
_cell_angle_alpha 90.00
_cell_angle_beta 90.00
_cell_angle_gamma 120.00
_symmetry_space_group_name_H-M 'P -6 2 m'
_symmetry_Int_Tables_number 189
_symmetry_space_group_name_Hall 'P -6 -2'
loop_
_atom_site_label
_atom_site_type_symbol
_atom_site_fract_x
_atom_site_fract_y
_atom_site_fract_z
Er1 Er 0.3333 0.6667 0.0000
Cu1 Cu 0.0000 0.0000 0.5000
Te1 Te 0.0000 0.2292 0.0000
Te2 Te 0.0000 0.5490 0.5000
```

Output
Total magnetic moment, μB per formula unit: 0.0
Mass density, g cm⁻³: 8.08
Raw total energy, Ry/atom: -0.3075

---

Compound: MgZnTe2
Source: OQMD via LeMat-Bulk
Functional: PBE
Structure: optimized geometry

```
data_MgZnTe2
_cell_length_a 4.474
_cell_length_b 4.474
_cell_length_c 6.359
_cell_angle_alpha 90.00
_cell_angle_beta 90.00
_cell_angle_gamma 90.00
_symmetry_space_group_name_H-M 'P -4 m 2'
_symmetry_Int_Tables_number 115
_symmetry_space_group_name_Hall 'P -4 -2'
loop_
_atom_site_label
_atom_site_type_symbol
_atom_site_fract_x
_atom_site_fract_y
_atom_site_fract_z
Mg1 Mg 0.000 0.000 0.000
Zn1 Zn 0.500 0.500 0.500
Te1 Te 0.000 0.500 0.264
```

Output
Mass density, g cm⁻³: 4.50
Raw total energy, Ry/atom: -0.2156

---

Compound: Zn2Co3Ag3
Source: OQMD via LeMat-Bulk
Functional: PBE
Structure: optimized geometry

```
data_Zn2Co3Ag3
_cell_length_a 5.4605
_cell_length_b 5.4605
_cell_length_c 4.4798
_cell_angle_alpha 90.00
_cell_angle_beta 90.00
_cell_angle_gamma 120.00
_symmetry_space_group_name_H-M 'P -6 m 2'
_symmetry_Int_Tables_number 187
_symmetry_space_group_name_Hall 'P -6 2'
loop_
_atom_site_label
_atom_site_type_symbol
_atom_site_fract_x
_atom_site_fract_y
_atom_site_fract_z
Zn1 Zn 0.0000 0.0000 0.0000
Zn2 Zn 0.3333 0.6667 0.5000
Co1 Co 0.0354 0.5177 0.0000
Ag1 Ag 0.3372 0.1686 0.5000
```

Output
Total magnetic moment, μB per formula unit: 4.4
DFT formation energy, eV/atom: 0.232
Mass density, g cm⁻³: 9.06
Energy relative to the lowest polymorph listed for this composition, eV per atom: 0.019

---

Compound: YHoPbC
Source: OQMD via LeMat-Bulk
Functional: PBE
Structure: optimized geometry

```
data_YHoPbC
_cell_length_a 3.6354
_cell_length_b 3.6354
_cell_length_c 16.0685
_cell_angle_alpha 90.00
_cell_angle_beta 90.00
_cell_angle_gamma 120.00
_symmetry_space_group_name_H-M 'P -6 m 2'
_symmetry_Int_Tables_number 187
_symmetry_space_group_name_Hall 'P -6 2'
loop_
_atom_site_label
_atom_site_type_symbol
_atom_site_fract_x
_atom_site_fract_y
_atom_site_fract_z
Y1 Y 0.0000 0.0000 0.1670
Ho1 Ho 0.6667 0.3333 0.3322
Pb1 Pb 0.0000 0.0000 0.5000
Pb2 Pb 0.6667 0.3333 0.0000
C1 C 0.3333 0.6667 0.2511
```

Output
Total magnetic moment, μB per formula unit: 0.0
Mass density, g cm⁻³: 8.54
Raw total energy, Ry/atom: -0.4778

---

- What is the mass density in the twelfth record?
  8.54 g cm⁻³

---

- The highest mass density belongs to which entry?
  LuTlFeRe

---

- Look up the mass density of the sixth one.
  14.46 g cm⁻³